1.
{
  "formula": "Sm2I4N",
  "functional": "GGA-PBE",
  "state": "relaxed",
  "lattice_angstrom": [[13.909, 0.000, 0.000], [0.000, 13.909, 0.000], [0.000, 0.000, 3.502]],
  "species": ["Sm", "Sm", "Sm", "Sm", "I", "I", "I", "I", "I", "I", "I", "I", "N", "N"],
  "frac_coords": [[0.083, 0.083, 0.000], [0.417, 0.583, 0.500], [0.583, 0.417, 0.500], [0.917, 0.917, 0.000], [0.046, 0.270, 0.500], [0.230, 0.546, 0.000], [0.270, 0.046, 0.500], [0.454, 0.770, 0.000], [0.546, 0.230, 0.000], [0.730, 0.954, 0.500], [0.770, 0.454, 0.000], [0.954, 0.730, 0.500], [0.000, 0.000, 0.500], [0.500, 0.500, 0.000]],
  "mass_density_g_cm3": 4.0,
  "raw_formation_energy_kj_per_mol_atoms": -102
}

2.
{
  "formula": "Sm7I12N",
  "functional": "GGA-PBE",
  "state": "relaxed",
  "lattice_angstrom": [[7.852, 4.533, 3.474], [-7.852, 4.533, 3.474], [0.000, -9.066, 3.474]],
  "species": ["Sm", "Sm", "Sm", "Sm", "Sm", "Sm", "Sm", "I", "I", "I", "I", "I", "I", "I", "I", "I", "I", "I", "I", "N"],
  "frac_coords": [[0.000, 0.000, 0.000], [0.214, 0.404, 0.469], [0.404, 0.469, 0.214], [0.469, 0.214, 0.404], [0.531, 0.786, 0.596], [0.596, 0.531, 0.786], [0.786, 0.596, 0.531], [0.033, 0.352, 0.114], [0.114, 0.033, 0.352], [0.189, 0.728, 0.579], [0.272, 0.421, 0.811], [0.352, 0.114, 0.033], [0.421, 0.811, 0.272], [0.579, 0.189, 0.728], [0.648, 0.886, 0.967], [0.728, 0.579, 0.189], [0.811, 0.272, 0.421], [0.886, 0.967, 0.648], [0.967, 0.648, 0.886], [0.500, 0.500, 0.500]],
  "mass_density_g_cm3": 5.8,
  "raw_formation_energy_kj_per_mol_atoms": -127
}

3.
{
  "formula": "SmI3N",
  "functional": "GGA-PBE",
  "state": "relaxed",
  "lattice_angstrom": [[5.816, -3.924, 0.000], [5.816, 3.924, 0.000], [-1.606, 0.000, 9.605]],
  "species": ["Sm", "Sm", "I", "I", "I", "I", "I", "I", "N", "N"],
  "frac_coords": [[0.229, 0.771, 0.000], [0.771, 0.229, 0.000], [0.056, 0.056, 0.754], [0.230, 0.230, 0.116], [0.418, 0.418, 0.778], [0.582, 0.582, 0.222], [0.770, 0.770, 0.884], [0.944, 0.944, 0.246], [0.202, 0.202, 0.458], [0.798, 0.798, 0.542]],
  "mass_density_g_cm3": 4.1,
  "raw_formation_energy_kj_per_mol_atoms": 3
}

4.
{
  "formula": "SmIN",
  "functional": "GGA-PBE",
  "state": "relaxed",
  "lattice_angstrom": [[7.271, 0.000, 0.000], [0.000, 3.788, 0.000], [-1.529, 0.000, 11.606]],
  "species": ["Sm", "Sm", "Sm", "Sm", "I", "I", "I", "I", "N", "N", "N", "N"],
  "frac_coords": [[0.099, 0.000, 0.382], [0.401, 0.500, 0.618], [0.599, 0.500, 0.382], [0.901, 0.000, 0.618], [0.224, 0.500, 0.191], [0.276, 0.000, 0.809], [0.724, 0.000, 0.191], [0.776, 0.500, 0.809], [0.072, 0.500, 0.548], [0.428, 0.000, 0.452], [0.572, 0.000, 0.548], [0.928, 0.500, 0.452]],
  "mass_density_g_cm3": 6.1,
  "raw_formation_energy_kj_per_mol_atoms": -116
}

5.
{
  "formula": "SmIN",
  "functional": "GGA-PBE",
  "state": "relaxed",
  "lattice_angstrom": [[7.989, 0.000, 0.000], [0.000, 6.573, 0.000], [-2.368, 0.000, 7.159]],
  "species": ["Sm", "Sm", "Sm", "Sm", "I", "I", "I", "I", "N", "N", "N", "N"],
  "frac_coords": [[0.090, 0.243, 0.345], [0.090, 0.257, 0.845], [0.910, 0.743, 0.155], [0.910, 0.757, 0.655], [0.299, 0.550, 0.167], [0.299, 0.950, 0.667], [0.701, 0.050, 0.333], [0.701, 0.450, 0.833], [0.032, 0.049, 0.084], [0.032, 0.451, 0.584], [0.968, 0.549, 0.416], [0.968, 0.951, 0.916]],
  "mass_density_g_cm3": 5.1,
  "raw_formation_energy_kj_per_mol_atoms": -101
}

6.
{
  "formula": "Sm2I2N",
  "functional": "GGA-PBE",
  "state": "relaxed",
  "lattice_angstrom": [[6.703, 0.000, 0.000], [0.000, 3.871, 0.000], [-2.505, 0.000, 11.706]],
  "species": ["Sm", "Sm", "Sm", "Sm", "I", "I", "I", "I", "N", "N"],
  "frac_coords": [[0.209, 0.000, 0.112], [0.291, 0.500, 0.888], [0.709, 0.500, 0.112], [0.791, 0.000, 0.888], [0.054, 0.000, 0.699], [0.446, 0.500, 0.301], [0.554, 0.500, 0.699], [0.946, 0.000, 0.301], [0.000, 0.500, 0.000], [0.500, 0.000, 0.000]],
  "mass_density_g_cm3": 6.2,
  "raw_formation_energy_kj_per_mol_atoms": -131
}

7.
{
  "formula": "SnIN",
  "functional": "GGA-PBE",
  "state": "relaxed",
  "lattice_angstrom": [[3.793, 0.000, 0.000], [-0.050, 6.691, 0.000], [-0.142, -0.987, 7.000]],
  "species": ["Sn", "Sn", "I", "I", "N", "N"],
  "frac_coords": [[0.000, 0.000, 0.000], [0.485, 0.677, 0.722], [0.011, 0.479, 0.121], [0.032, 0.084, 0.399], [0.495, 0.988, 0.872], [0.992, 0.665, 0.903]],
  "mass_density_g_cm3": 4.9,
  "raw_formation_energy_kj_per_mol_atoms": 35
}

8.
{
  "formula": "SnI2N2",
  "functional": "GGA-PBE",
  "state": "relaxed",
  "lattice_angstrom": [[5.993, 0.000, 0.000], [0.000, 5.993, 0.000], [0.000, 0.000, 4.169]],
  "species": ["Sn", "I", "I", "N", "N"],
  "frac_coords": [[0.000, 0.000, 0.000], [0.000, 0.500, 0.000], [0.500, 0.000, 0.000], [0.000, 0.000, 0.500], [0.500, 0.500, 0.500]],
  "mass_density_g_cm3": 4.4,
  "polymorph_energy_kj_per_mol_atoms": 179.75,
  "raw_formation_energy_kj_per_mol_atoms": 150
}

9.
{
  "formula": "SnIN",
  "functional": "GGA-PBE",
  "state": "relaxed",
  "lattice_angstrom": [[3.837, 0.000, 0.000], [1.918, 6.843, 0.000], [1.808, 2.504, 6.817]],
  "species": ["Sn", "Sn", "I", "I", "N", "N"],
  "frac_coords": [[0.164, 0.190, 0.481], [0.836, 0.810, 0.519], [0.060, 0.668, 0.197], [0.940, 0.332, 0.803], [0.271, 0.852, 0.612], [0.729, 0.148, 0.388]],
  "mass_density_g_cm3": 4.8,
  "raw_formation_energy_kj_per_mol_atoms": 25
}

10.
{
  "formula": "SnIN",
  "functional": "GGA-PBE",
  "state": "relaxed",
  "lattice_angstrom": [[3.644, 0.000, 0.000], [-1.811, 6.019, 0.000], [-1.786, -1.483, 7.336]],
  "species": ["Sn", "Sn", "I", "I", "N", "N"],
  "frac_coords": [[0.000, 0.000, 0.000], [0.253, 0.495, 0.007], [0.095, 0.832, 0.362], [0.498, 0.336, 0.656], [0.378, 0.819, 0.935], [0.846, 0.523, 0.168]],
  "mass_density_g_cm3": 5.4,
  "raw_formation_energy_kj_per_mol_atoms": 40
}

11.
{
  "formula": "SnIN",
  "functional": "GGA-PBE",
  "state": "relaxed",
  "lattice_angstrom": [[3.594, 0.000, 0.000], [-1.797, 3.113, 0.000], [-1.359, -1.027, 7.251]],
  "species": ["Sn", "I", "N"],
  "frac_coords": [[0.000, 0.000, 0.000], [0.220, 0.129, 0.389], [0.626, 0.309, 0.926]],
  "mass_density_g_cm3": 5.3,
  "raw_formation_energy_kj_per_mol_atoms": 30
}

12.
{
  "formula": "SnI2N2",
  "functional": "GGA-PBE",
  "state": "relaxed",
  "lattice_angstrom": [[4.300, 0.000, 0.000], [0.000, 4.300, 0.000], [0.000, 0.000, 7.032]],
  "species": ["Sn", "I", "I", "N", "N"],
  "frac_coords": [[0.000, 0.000, 0.000], [0.500, 0.500, 0.000], [0.500, 0.500, 0.500], [0.000, 0.500, 0.500], [0.500, 0.000, 0.500]],
  "mass_density_g_cm3": 5.1,
  "polymorph_energy_kj_per_mol_atoms": 197.04,
  "raw_formation_energy_kj_per_mol_atoms": 168
}